Record 1
The following is a DFT calculation (PBE) of a relaxed structure of Ba2AcPbS4.

```
Ba2AcPbS4
1.0
-4.397 4.435 6.244
4.397 -4.435 6.244
4.397 4.435 -6.244
Ba Ac Pb S
4 2 2 8
Direct
0.000 0.000 0.000
0.500 0.000 0.000
0.500 0.000 0.500
0.500 0.500 0.500
0.000 0.000 0.500
0.000 0.500 0.000
0.000 0.500 0.500
0.500 0.500 0.000
0.232 0.745 0.487
0.242 0.253 0.511
0.242 0.255 0.987
0.242 0.731 0.989
0.758 0.269 0.011
0.758 0.745 0.013
0.758 0.747 0.489
0.768 0.255 0.513
```

Calculated values
Space-group type: No. 74
Calculated total energy in eV/f.u.: -41.4
Energy relative to the elements, uncorrected in eV/atom: -1.656

Record 2
The following is a DFT calculation (PBE) of a relaxed structure of Ag4As5.

```
Ag4As5
1.0
-4.881 4.881 1.808
4.881 -4.881 1.808
4.881 4.881 -1.808
Ag As
4 5
Direct
0.000 0.336 0.336
0.000 0.664 0.664
0.336 0.000 0.336
0.664 0.000 0.664
0.000 0.000 0.000
0.323 0.323 0.647
0.323 0.677 0.000
0.677 0.323 0.000
0.677 0.677 0.353
```

Calculated values
Space-group type: No. 139
ΔE to the lowest computed polymorph in meV per atom: 0
ΔE_f in eV per atom: 0.2760
Calculated total energy in eV/f.u.: -32.2

Record 3
The following is a DFT calculation (PBE) of a relaxed structure of Ac2Tb2Nd5.

```
Ac2Tb2Nd5
1.0
-7.692 6.224 3.460
7.692 -6.224 3.460
7.692 6.224 -3.460
Ac Tb Nd
4 4 10
Direct
0.003 0.124 0.127
0.003 0.376 0.379
0.997 0.624 0.621
0.997 0.876 0.873
0.467 0.467 0.000
0.467 0.967 0.500
0.527 0.281 0.746
0.535 0.781 0.254
0.093 0.605 0.988
0.097 0.181 0.628
0.097 0.969 0.416
0.408 0.098 0.205
0.408 0.702 0.809
0.553 0.469 0.372
0.553 0.681 0.584
0.618 0.105 0.012
0.893 0.202 0.795
0.893 0.598 0.191
```

Calculated values
Space-group type: No. 46
ΔE to the lowest computed polymorph in meV per atom: 84
ΔE_f in eV per atom: 0.1891
Calculated total energy in eV/f.u.: -39.6